Below is a geometry-optimized CaEuMgSn structure, with properties calculated at the PBE level.

Cell: 5.5109 5.5109 5.5109 Å, 60.00 60.00 60.00°
Last column: nearest neighbours and their distance in Å.
Atoms (fractional coordinates):
Ca 0.0000 0.0000 0.0000  4 Sn 3.37, 4 Mg 3.37
Eu 0.5000 0.5000 0.5000  4 Sn 3.37, 4 Mg 3.37
Mg 0.2500 0.2500 0.2500  4 Ca 3.37, 4 Eu 3.37
Sn 0.7500 0.7500 0.7500  4 Ca 3.37, 4 Eu 3.37

Values from the calculation:
The final energy comes out at -19.683 eV per cell. The crystal system is cubic. As for the space-group type: F-43m (216). As for the formation enthalpy at 0 K: -0.45 eV/atom.

***

Below is a geometry-optimized Cs2ZnTeI6 structure, with properties calculated at the PBE level.

Cell: 8.7785 8.7785 8.7785 Å, 119.66 119.66 90.59°
Last column: nearest neighbours and their distance in Å.
Atoms (fractional coordinates):
Cs 0.2500 0.7500 0.5000  12 I 4.39-4.45
Cs 0.7500 0.2500 0.5000  12 I 4.39-4.45
Zn 0.0000 0.0000 0.0000  2 I 2.53
Te 0.5000 0.5000 0.0000  4 I 2.98
I 0.2051 0.2051 0.0000  1 Zn 2.53
I 0.2614 0.2614 0.5228  1 Te 2.98, 1 Zn 3.26
I 0.2614 0.7386 0.0000  1 Te 2.98, 1 Zn 3.26
I 0.7386 0.2614 0.0000  1 Te 2.98, 1 Zn 3.26
I 0.7386 0.7386 0.4772  1 Te 2.98, 1 Zn 3.26
I 0.7949 0.7949 0.0000  1 Zn 2.53

Values from the calculation:
The final energy comes out at -23.170 eV per cell. The crystal system is tetragonal. The value obtained for the uncorrected formation energy is -0.775 eV/atom. As for the space-group type: I4/mmm (139).

***

Below is a geometry-optimized HfCuPt structure, with properties calculated at the PBE level.

Cell: 5.3031 5.3031 5.3031 Å, 129.99 118.06 83.50°
Last column: nearest neighbours and their distance in Å.
Atoms (fractional coordinates):
Hf 0.1901 0.1901 0.0000  4 Cu 2.59-2.75, 2 Pt 2.82
Hf 0.8099 0.8099 0.0000  4 Cu 2.59-2.75, 2 Pt 2.82
Cu 0.3547 0.8547 0.5000  1 Cu 2.30
Cu 0.6453 0.1453 0.5000  1 Cu 2.30
Pt 0.2457 0.5000 0.7457  2 Pt 2.68-2.78, 2 Hf 2.82, 4 Cu 2.88
Pt 0.7543 0.5000 0.2543  2 Pt 2.68-2.78, 2 Hf 2.82, 4 Cu 2.88

Values from the calculation:
The final energy comes out at -43.526 eV per cell. The value obtained for the offset from the most stable computed form is 208 meV per atom. The crystal system is orthorhombic. As for the space-group type: Immm (71). As for the formation enthalpy at 0 K: -0.56 eV/atom.

***

Below is a geometry-optimized Li2IrRu structure, with properties calculated at the PBE level.

Cell: 2.6849 2.6849 9.3927 Å, 90.00 90.00 118.06°
Last column: nearest neighbours and their distance in Å.
Atoms (fractional coordinates):
Li 0.0000 0.0000 0.0000  2 Ir 2.60, 6 Li 2.68-2.76
Li 0.5000 0.5000 0.2840  2 Ru 2.65, 6 Li 2.68-2.76
Ir 0.5000 0.5000 0.7661  2 Li 2.60, 2 Ru 2.65, 6 Ir 2.68-2.76
Ru 0.0000 0.0000 0.5248  2 Li 2.65, 2 Ir 2.65, 6 Ru 2.68-2.76

Values from the calculation:
The final energy comes out at -21.212 eV per cell. The value obtained for the offset from the most stable computed form is 235 meV per atom. The crystal system is orthorhombic. As for the space-group type: Cmm2 (35). As for the formation enthalpy at 0 K: 0.19 eV/atom.